No. 1
Cs2PuPtS4: optimized geometry, PBE.

Energy relative to the elements, uncorrected, eV/atom: -0.897
Symmetry: Fddd, No. 70

Cell: 6.4144 8.3600 12.8835 Å, 84.52 75.59 67.44°
Site moments in Bohr magnetons follow the coordinates.
Fractional coordinates of all 16 atoms:
Cs: 0.8226 0.0000 0.3547  0.00
Cs: 0.9274 0.5000 0.1453  0.00
Cs: 0.5726 0.5000 0.8547  0.00
Cs: 0.1774 0.0000 0.6453  0.00
Pt: 0.5000 0.0000 0.0000  -0.17
Pt: 0.2500 0.5000 0.5000  -0.17
S: 0.4061 0.7130 0.4301  -0.11
S: 0.8809 0.7130 0.5699  -0.11
S: 0.3439 0.7870 0.0699  -0.11
S: 0.2008 0.2130 0.9301  -0.11
S: 0.5492 0.2870 0.5699  -0.11
S: 0.1638 0.2870 0.4301  -0.11
S: 0.8691 0.7870 0.9301  -0.11
S: 0.5862 0.2130 0.0699  -0.11
Pu: 0.0000 0.0000 0.0000  4.58
Pu: 0.7500 0.5000 0.5000  4.58

=====

No. 2
Cs4Pu3PtS8: optimized geometry, PBE.

Energy relative to the elements, uncorrected, eV/atom: -1.231
Symmetry: C2/m, No. 12

Cell: 7.9444 9.2220 8.4515 Å, 115.63 118.03 90.00°
Site moments in Bohr magnetons follow the coordinates.
Fractional coordinates of all 16 atoms:
S: 0.2676 0.7063 0.5352  -0.13
S: 0.1901 0.6552 0.9407  0.01
S: 0.8099 0.3448 0.0593  0.01
S: 0.7324 0.2937 0.4648  -0.13
S: 0.7210 0.6812 0.4419  -0.05
S: 0.2790 0.3188 0.5581  -0.05
S: 0.2494 0.3448 0.0593  0.01
S: 0.7506 0.6552 0.9407  0.01
Pu: 0.5000 0.5000 0.0000  -4.94
Pu: 0.5000 0.5000 0.5000  4.85
Pu: 0.0000 0.5000 0.5000  4.85
Cs: 0.5000 0.0000 0.0000  -0.01
Cs: 0.0000 0.0000 0.5000  0.00
Cs: 0.5000 0.0000 0.5000  0.00
Cs: 0.0000 0.0000 0.0000  0.01
Pt: 0.0000 0.5000 0.0000  -0.03

=====

No. 3
CsPu4Pt3Se12: optimized geometry, PBE.

Energy relative to the elements, uncorrected, eV/atom: -0.776
Symmetry: Im-3, No. 204

Cell: 8.9432 8.9432 8.9432 Å, 109.47 109.47 109.47°
Site moments in Bohr magnetons follow the coordinates.
Fractional coordinates of all 20 atoms:
Pu: 0.0000 0.5000 0.0000  4.74
Pu: 0.5000 0.0000 0.0000  4.74
Pu: 0.5000 0.5000 0.5000  4.74
Pu: 0.0000 0.0000 0.5000  4.74
Se: 0.5096 0.6742 0.8354  -0.21
Se: 0.6742 0.8354 0.5096  -0.21
Se: 0.1612 0.3258 0.8354  -0.21
Se: 0.6742 0.1646 0.8388  -0.21
Se: 0.1646 0.4904 0.3258  -0.21
Se: 0.3258 0.8354 0.1612  -0.21
Se: 0.8354 0.5096 0.6742  -0.21
Se: 0.8388 0.6742 0.1646  -0.21
Se: 0.8354 0.1612 0.3258  -0.21
Se: 0.4904 0.3258 0.1646  -0.21
Se: 0.1646 0.8388 0.6742  -0.21
Se: 0.3258 0.1646 0.4904  -0.21
Pt: 0.5000 0.5000 0.0000  -0.24
Pt: 0.0000 0.5000 0.5000  -0.24
Pt: 0.5000 0.0000 0.5000  -0.24
Cs: 0.0000 0.0000 0.0000  -0.01

=====

No. 4
Cs4Rb3Pt: optimized geometry, PBE.

Formation enthalpy at 0 K, eV per atom: 0.01
Symmetry: Pmmn, No. 59

Cell: 9.6618 10.9122 13.5558 Å, 90.00 90.00 90.00°
Fractional coordinates of all 16 atoms:
Cs: 0.4946 0.5000 0.8277
Cs: 0.7629 0.2034 0.0000
Cs: 0.5054 0.0000 0.3277
Cs: 0.2371 0.2966 0.5000
Cs: 0.5054 0.0000 0.6723
Cs: 0.7629 0.7966 0.0000
Cs: 0.2371 0.7034 0.5000
Cs: 0.4946 0.5000 0.1723
Pt: 0.7408 0.5000 0.0000
Pt: 0.2592 0.0000 0.5000
Rb: 0.9912 0.5000 0.8262
Rb: 0.0088 0.0000 0.3262
Rb: 0.0088 0.0000 0.6738
Rb: 0.2514 0.0000 0.0000
Rb: 0.9912 0.5000 0.1738
Rb: 0.7486 0.5000 0.5000

=====

No. 5
Cs4Rb5Pt: optimized geometry, PBE.

Formation enthalpy at 0 K, eV per atom: 0.00
Symmetry: C2/m, No. 12

Cell: 4.9953 12.2217 14.1590 Å, 84.19 100.16 90.00°
Fractional coordinates of all 10 atoms:
Cs: 0.6005 0.1278 0.2009
Cs: 0.9531 0.1659 0.9063
Cs: 0.0469 0.8341 0.0937
Cs: 0.3995 0.8722 0.7991
Rb: 0.7728 0.1697 0.5457
Rb: 0.5000 0.5000 0.0000
Rb: 0.8332 0.5295 0.6664
Rb: 0.1668 0.4705 0.3336
Rb: 0.2272 0.8303 0.4543
Pt: 0.5000 0.0000 0.0000

=====

No. 6
CsRbPt2: optimized geometry, PBE.

Polymorph energy (0 for the lowest one), meV/atom: 471
Formation enthalpy at 0 K, eV per atom: 0.38
Symmetry: I-42d, No. 122

Cell: 5.0728 5.0728 11.9963 Å, 77.79 77.79 90.00°
Fractional coordinates of all 8 atoms:
Pt: 0.9436 0.1250 0.2500
Pt: 0.8750 0.1936 0.7500
Pt: 0.8064 0.6250 0.2500
Pt: 0.3750 0.0564 0.7500
Rb: 0.2500 0.7500 0.5000
Rb: 0.5000 0.5000 0.0000
Cs: 0.7500 0.2500 0.5000
Cs: 0.0000 0.0000 0.0000

=====

No. 7
Cs4RbPt: optimized geometry, PBE.

Formation enthalpy at 0 K, eV per atom: 0.00
Symmetry: C2/m, No. 12

Cell: 8.3896 9.8653 12.3883 Å, 113.46 101.66 90.00°
Fractional coordinates of all 12 atoms:
Cs: 0.0000 0.2863 0.0000
Cs: 0.3891 0.1698 0.8078
Cs: 0.3891 0.6380 0.8078
Cs: 0.6109 0.3620 0.1922
Cs: 0.6109 0.8302 0.1922
Cs: 0.0000 0.7137 0.0000
Cs: 0.7447 0.3274 0.6549
Cs: 0.2553 0.6726 0.3451
Pt: 0.6425 0.4788 0.9576
Pt: 0.3575 0.5212 0.0424
Rb: 0.8486 0.8024 0.6047
Rb: 0.1514 0.1976 0.3953

=====

No. 8
Cs2Rb4Pt: optimized geometry, PBE.

Formation enthalpy at 0 K, eV per atom: 0.04
Symmetry: I4/mmm, No. 139

Cell: 6.6096 6.6096 14.2241 Å, 76.57 76.57 90.00°
Fractional coordinates of all 7 atoms:
Rb: 0.8804 0.8804 0.2391
Rb: 0.1196 0.1196 0.7609
Rb: 0.5000 0.0000 0.0000
Rb: 0.0000 0.5000 0.0000
Pt: 0.0000 0.0000 0.0000
Cs: 0.6895 0.6895 0.6211
Cs: 0.3105 0.3105 0.3789

=====

No. 9
Cs14RbPt: optimized geometry, PBE.

Formation enthalpy at 0 K, eV per atom: 0.02
Symmetry: Amm2, No. 38

Cell: 10.7553 10.7553 14.1392 Å, 90.00 90.00 102.93°
Fractional coordinates of all 16 atoms:
Cs: 0.8898 0.1102 0.2938
Cs: 0.3393 0.6607 0.2470
Cs: 0.0579 0.3793 0.0000
Cs: 0.8033 0.5248 0.6647
Cs: 0.6328 0.8997 0.5000
Cs: 0.6207 0.9421 0.0000
Cs: 0.3393 0.6607 0.7530
Cs: 0.4752 0.1967 0.6647
Cs: 0.8898 0.1102 0.7062
Cs: 0.8033 0.5248 0.3353
Cs: 0.5792 0.4208 0.0000
Cs: 0.4752 0.1967 0.3353
Cs: 0.1026 0.8974 0.0000
Cs: 0.1003 0.3672 0.5000
Pt: 0.7621 0.2379 0.5000
Rb: 0.1291 0.8709 0.5000

=====

No. 10
Cs2Rb4Pt: optimized geometry, PBE.

Formation enthalpy at 0 K, eV per atom: 0.04
Symmetry: C2/m, No. 12

Cell: 5.9923 8.8294 10.2219 Å, 106.14 107.04 90.00°
Fractional coordinates of all 7 atoms:
Pt: 0.0000 0.0000 0.0000
Rb: 0.1050 0.7328 0.2100
Rb: 0.8950 0.2672 0.7900
Rb: 0.5302 0.2244 0.0604
Rb: 0.4698 0.7756 0.9396
Cs: 0.8166 0.7725 0.6331
Cs: 0.1834 0.2275 0.3669

=====

No. 11
CsRb14Pt: optimized geometry, PBE.

Formation enthalpy at 0 K, eV per atom: 0.04
Symmetry: Amm2, No. 38

Cell: 10.3150 10.3150 12.6866 Å, 90.00 90.00 100.78°
Fractional coordinates of all 16 atoms:
Rb: 0.8742 0.1258 0.2740
Rb: 0.0943 0.3665 0.5000
Rb: 0.7953 0.5301 0.3288
Rb: 0.6188 0.9107 0.0000
Rb: 0.8742 0.1258 0.7260
Rb: 0.7953 0.5301 0.6712
Rb: 0.4699 0.2047 0.3288
Rb: 0.6004 0.3996 0.0000
Rb: 0.1095 0.8905 0.0000
Rb: 0.6335 0.9057 0.5000
Rb: 0.3515 0.6485 0.7517
Rb: 0.4699 0.2047 0.6712
Rb: 0.0893 0.3812 0.0000
Rb: 0.3515 0.6485 0.2483
Pt: 0.7531 0.2469 0.5000
Cs: 0.1193 0.8807 0.5000

=====

No. 12
Cs12Rb6Pt: optimized geometry, PBE.

Formation enthalpy at 0 K, eV per atom: -0.01
Symmetry: R-3, No. 148

Cell: 12.4287 12.4287 12.4287 Å, 78.78 78.78 78.78°
Fractional coordinates of all 19 atoms:
Rb: 0.9675 0.6388 0.6383
Rb: 0.3617 0.0325 0.3612
Rb: 0.3612 0.3617 0.0325
Rb: 0.6383 0.9675 0.6388
Rb: 0.0325 0.3612 0.3617
Rb: 0.6388 0.6383 0.9675
Cs: 0.0213 0.0223 0.7186
Cs: 0.7186 0.0213 0.0223
Cs: 0.6963 0.3615 0.6975
Cs: 0.6975 0.6963 0.3615
Cs: 0.0223 0.7186 0.0213
Cs: 0.9777 0.2814 0.9787
Cs: 0.3025 0.3037 0.6385
Cs: 0.2814 0.9787 0.9777
Cs: 0.3615 0.6975 0.6963
Cs: 0.9787 0.9777 0.2814
Cs: 0.3037 0.6385 0.3025
Cs: 0.6385 0.3025 0.3037
Pt: 0.0000 0.0000 0.0000

=====

No. 13
CsRb6Pt: optimized geometry, PBE.

Formation enthalpy at 0 K, eV per atom: 0.03
Symmetry: C2/m, No. 12

Cell: 12.2271 8.7701 8.7701 Å, 100.19 117.65 117.65°
Fractional coordinates of all 8 atoms:
Rb: 0.2640 0.3505 0.0002
Rb: 0.7360 0.9998 0.6495
Rb: 0.7360 0.6495 0.9998
Rb: 0.9144 0.6499 0.6499
Rb: 0.2640 0.0002 0.3505
Rb: 0.0856 0.3501 0.3501
Pt: 0.0000 0.0000 0.0000
Cs: 0.5000 0.0000 0.0000

=====

No. 14
CsRb3Pt: optimized geometry, PBE.

Polymorph energy (0 for the lowest one), meV/atom: 980
Formation enthalpy at 0 K, eV per atom: 0.97
Symmetry: Pm-3m, No. 221

Cell: 7.5782 7.5782 7.5782 Å, 90.00 90.00 90.00°
Fractional coordinates of all 5 atoms:
Rb: 0.0000 0.5000 0.0000
Rb: 0.0000 0.0000 0.5000
Rb: 0.5000 0.0000 0.0000
Pt: 0.5000 0.5000 0.5000
Cs: 0.0000 0.0000 0.0000

=====

No. 15
Cs3RbPt: optimized geometry, PBE.

Polymorph energy (0 for the lowest one), meV/atom: 804
Formation enthalpy at 0 K, eV per atom: 0.83
Symmetry: Pm-3m, No. 221

Cell: 7.8044 7.8044 7.8044 Å, 90.00 90.00 90.00°
Site moments in Bohr magnetons follow the coordinates.
Fractional coordinates of all 5 atoms:
Cs: 0.5000 0.0000 0.0000  0.00
Cs: 0.0000 0.0000 0.5000  0.00
Cs: 0.0000 0.5000 0.0000  0.00
Rb: 0.0000 0.0000 0.0000  0.00
Pt: 0.5000 0.5000 0.5000  0.37

=====

No. 16
Cs4Rb4Pt: optimized geometry, PBE.

Formation enthalpy at 0 K, eV per atom: 0.03
Symmetry: P4_2/nmc, No. 137

Cell: 12.4230 12.4230 9.3531 Å, 90.00 90.00 90.00°
Fractional coordinates of all 18 atoms:
Cs: 0.5000 0.2292 0.6225
Cs: 0.5000 0.7708 0.6225
Cs: 0.7708 0.5000 0.3775
Cs: 0.2708 0.0000 0.1225
Cs: 0.2292 0.5000 0.3775
Cs: 0.0000 0.7292 0.8775
Cs: 0.7292 0.0000 0.1225
Cs: 0.0000 0.2708 0.8775
Rb: 0.5000 0.3216 0.1922
Rb: 0.1784 0.0000 0.6922
Rb: 0.6784 0.5000 0.8078
Rb: 0.3216 0.5000 0.8078
Rb: 0.5000 0.6784 0.1922
Rb: 0.0000 0.8216 0.3078
Rb: 0.0000 0.1784 0.3078
Rb: 0.8216 0.0000 0.6922
Pt: 0.0000 0.0000 0.0000
Pt: 0.5000 0.5000 0.5000

=====

No. 17
CsRb3Pt: optimized geometry, PBE.

Polymorph energy (0 for the lowest one), meV/atom: 94
Formation enthalpy at 0 K, eV per atom: 0.08
Symmetry: Pm-3m, No. 221

Cell: 6.7836 6.7836 6.7836 Å, 90.00 90.00 90.00°
Fractional coordinates of all 5 atoms:
Rb: 0.0000 0.5000 0.0000
Rb: 0.0000 0.0000 0.5000
Rb: 0.5000 0.0000 0.0000
Pt: 0.0000 0.0000 0.0000
Cs: 0.5000 0.5000 0.5000

=====

No. 18
Cs9Rb6Pt: optimized geometry, PBE.

Formation enthalpy at 0 K, eV per atom: 0.02
Symmetry: I4/m, No. 87

Cell: 11.9221 11.9221 13.6962 Å, 115.80 115.80 90.00°
Fractional coordinates of all 16 atoms:
Cs: 0.6417 0.4425 0.6774
Cs: 0.2349 0.6417 0.6774
Cs: 0.7651 0.3583 0.3226
Cs: 0.5575 0.9643 0.3226
Cs: 0.0357 0.2349 0.6774
Cs: 0.4425 0.0357 0.6774
Cs: 0.9643 0.7651 0.3226
Cs: 0.3583 0.5575 0.3226
Cs: 0.5000 0.5000 0.0000
Rb: 0.7366 0.9158 0.0000
Rb: 0.0842 0.7366 0.0000
Rb: 0.1530 0.1530 0.3059
Rb: 0.9158 0.2634 0.0000
Rb: 0.8470 0.8470 0.6941
Rb: 0.2634 0.0842 0.0000
Pt: 0.0000 0.0000 0.0000

=====

No. 19
CsRb3Pt: optimized geometry, PBE.

Polymorph energy (0 for the lowest one), meV/atom: 0
Formation enthalpy at 0 K, eV per atom: -0.01
Symmetry: P2_1/m, No. 11

Cell: 4.9046 14.2398 13.5881 Å, 133.31 90.00 90.00°
Fractional coordinates of all 10 atoms:
Pt: 0.6955 0.6821 0.7392
Pt: 0.1955 0.7395 0.8149
Rb: 0.6955 0.6905 0.9845
Rb: 0.1955 0.0107 0.1702
Rb: 0.1955 0.7311 0.5696
Rb: 0.6955 0.9874 0.9012
Rb: 0.6955 0.4108 0.3839
Rb: 0.1955 0.4342 0.6528
Cs: 0.6955 0.0197 0.5208
Cs: 0.1955 0.4018 0.0333

=====

No. 20
Cs3Rb8Pt: optimized geometry, PBE.

Formation enthalpy at 0 K, eV per atom: 0.03
Symmetry: P6_3mc, No. 186

Cell: 9.9697 15.1128 15.1130 Å, 120.00 90.00 90.00°
Fractional coordinates of all 24 atoms:
Rb: 0.2713 0.5354 0.7677
Rb: 0.7713 0.7677 0.5354
Rb: 0.2089 0.6667 0.3333
Rb: 0.4857 0.9298 0.4649
Rb: 0.9858 0.4649 0.9298
Rb: 0.2713 0.2323 0.4646
Rb: 0.4858 0.5351 0.0702
Rb: 0.9857 0.0702 0.5351
Rb: 0.2713 0.2323 0.7677
Rb: 0.7713 0.7677 0.2323
Rb: 0.9984 0.0001 0.0001
Rb: 0.9857 0.4649 0.5351
Rb: 0.7089 0.3333 0.6667
Rb: 0.4984 0.9999 0.9999
Rb: 0.4857 0.5351 0.4649
Rb: 0.7713 0.4646 0.2323
Cs: 0.2489 0.3072 0.1536
Cs: 0.7489 0.1536 0.8464
Cs: 0.2486 0.8464 0.6928
Cs: 0.7489 0.6928 0.8464
Cs: 0.7486 0.1536 0.3072
Cs: 0.2489 0.8464 0.1536
Pt: 0.5481 0.6667 0.3333
Pt: 0.0481 0.3333 0.6667

=====

| no. | M_tot (μB per cell) |
| --- | --- |
| 1 | 7.95 |
| 2 | 4.44 |
| 3 | 14.93 |
| 4 | 0.00 |
| 5 | 0.00 |
| 6 | 0.00 |
| 7 | 0.00 |
| 8 | 0.00 |
| 9 | 0.00 |
| 10 | 0.00 |
| 11 | 0.00 |
| 12 | 0.00 |
| 13 | 0.00 |
| 14 | 0.00 |
| 15 | 0.22 |
| 16 | 0.00 |
| 17 | 0.00 |
| 18 | 0.00 |
| 19 | 0.00 |
| 20 | 0.00 |